Record 1
First-principles (GGA-PBE) data for a geometry-optimized KPm2TcO8 structure, as listed in Alexandria via LeMat-Bulk.

```
KPm2TcO8
1.0
-3.922 -3.230 -1.287
-0.862 -0.456 4.315
-4.988 5.444 1.646
O K Tc Pm
8 1 1 2
Cartesian
-5.543 -2.324 1.972 O
-4.230 4.082 2.703 O
-1.654 -0.232 0.841 O
-3.369 -1.818 -0.032 O
-4.757 1.005 1.599 O
-6.403 3.576 4.707 O
-5.015 0.753 3.076 O
-8.119 1.990 3.834 O
-2.494 2.722 0.823 K
0.000 0.000 0.000 Tc
-6.250 2.635 2.365 Pm
-3.522 -0.877 2.309 Pm
```

## Properties
energy relative to the elements, uncorrected: -2076.5 meV/atom
space group: P-1 (2)

Record 2
First-principles (GGA-PBE) data for a geometry-optimized KPmTc2O8 structure, as listed in Alexandria via LeMat-Bulk.

```
KPmTc2O8
1.0
6.056 0.000 0.000
-3.028 5.245 0.000
0.000 0.000 7.701
O K Pm Tc
8 1 1 2
Cartesian
1.561 0.907 2.377 O
-1.462 4.347 5.324 O
4.491 0.898 2.377 O
3.033 3.440 2.377 O
0.000 3.497 7.685 O
1.467 4.338 5.324 O
3.028 1.748 0.016 O
-0.005 1.805 5.324 O
0.000 0.000 0.000 K
0.000 0.000 3.850 Pm
3.028 1.748 1.761 Tc
0.000 3.497 5.940 Tc
```

## Properties
energy relative to the elements, uncorrected: -1896.8 meV/atom
space group: P-3m1 (164)

Record 3
First-principles (GGA-PBE) data for a geometry-optimized K2Pm2TcO6 structure, as listed in Alexandria via LeMat-Bulk.

```
K2Pm2TcO6
1.0
-3.267 -2.244 4.409
-1.469 -1.206 -5.616
5.099 -4.179 0.482
O Pm Tc K
6 2 1 2
Cartesian
2.216 -3.654 1.616 O
0.506 -2.182 -0.135 O
2.765 -3.337 -1.447 O
-0.144 -5.446 -0.590 O
-1.853 -3.975 -2.341 O
-2.403 -4.292 0.722 O
-0.114 -3.985 1.287 Pm
0.477 -3.644 -2.012 Pm
2.549 -2.089 0.241 Tc
-2.984 -2.080 2.831 K
-1.752 -1.369 -4.037 K
```

## Properties
energy relative to the elements, uncorrected: -2269.7 meV/atom
space group: C2/m (12)

Record 4
First-principles (GGA-PBE) data for a geometry-optimized K3PmTc2O9 structure, as listed in Alexandria via LeMat-Bulk.

```
K3PmTc2O9
1.0
5.804 0.000 0.000
-2.902 5.026 0.000
0.000 0.000 7.262
K O Pm Tc
3 9 1 2
Cartesian
0.000 3.351 4.933 K
2.902 1.675 2.330 K
0.000 0.000 0.000 K
-1.331 4.119 2.207 O
1.331 4.119 2.207 O
4.233 0.907 5.055 O
2.902 0.000 0.000 O
1.451 2.513 0.000 O
-1.451 2.513 0.000 O
2.902 3.212 5.055 O
0.000 1.814 2.207 O
1.571 0.907 5.055 O
0.000 0.000 3.631 Pm
0.000 3.351 1.132 Tc
2.902 1.675 6.130 Tc
```

## Properties
energy relative to the elements, uncorrected: -1858.3 meV/atom
space group: P-3m1 (164)

Record 5
First-principles (GGA-PBE) data for a geometry-optimized K2PmTc3O12 structure, as listed in Alexandria via LeMat-Bulk.

```
K2PmTc3O12
1.0
-4.262 4.135 -4.100
1.259 0.114 -7.104
-4.753 -3.308 -4.306
O Tc K Pm
12 3 2 1
Cartesian
-4.939 2.883 -7.084 O
-2.817 -1.942 -8.426 O
-4.788 -1.252 -11.815 O
-4.540 2.518 -11.711 O
-5.249 -1.816 -7.214 O
-2.968 2.192 -3.695 O
-2.508 2.756 -8.296 O
-3.216 -1.577 -3.799 O
-1.454 0.344 -8.981 O
-0.172 0.156 -5.217 O
-6.302 0.596 -6.529 O
-7.584 0.784 -10.293 O
0.629 0.057 -3.552 Tc
-2.376 -1.654 -2.153 Tc
-2.131 2.067 -2.050 Tc
-4.832 0.586 -9.662 K
-2.924 0.354 -5.848 K
0.000 0.000 0.000 Pm
```

## Properties
energy relative to the elements, uncorrected: -1657.2 meV/atom
space group: R-3m (166)

Record 6
First-principles (GGA-PBE) data for a geometry-optimized K2PmTe2O6 structure, as listed in Alexandria via LeMat-Bulk.

```
K2PmTe2O6
1.0
6.882 0.000 0.000
-3.441 5.025 0.072
0.000 -2.812 6.693
O K Te Pm
6 2 2 1
Cartesian
1.890 -0.107 2.207 O
1.551 2.320 4.557 O
-1.551 2.320 4.557 O
3.441 0.227 5.201 O
4.992 -0.107 2.207 O
0.000 1.985 1.563 O
3.441 1.693 0.976 K
0.000 0.520 5.789 K
0.000 0.077 1.632 Te
3.441 2.136 5.132 Te
3.441 -1.406 3.346 Pm
```

## Properties
energy relative to the elements, uncorrected: -1615.0 meV/atom
space group: C2/m (12)

Record 7
First-principles (GGA-PBE) data for a geometry-optimized K3Pm3TeO8 structure, as listed in Alexandria via LeMat-Bulk.

```
K3Pm3TeO8
1.0
-5.904 -1.829 3.521
6.387 -1.560 2.715
-2.214 7.226 0.041
Pm K Te O
3 3 1 8
Cartesian
-0.866 1.919 3.138 Pm
-4.059 2.699 1.781 Pm
2.086 2.833 1.378 Pm
0.242 -1.695 3.118 K
0.000 0.000 0.000 K
3.194 -0.780 1.357 K
-1.107 3.613 0.020 Te
1.169 0.928 2.442 O
-5.102 0.825 2.872 O
-0.019 3.840 1.963 O
0.238 2.041 5.272 O
3.371 3.012 3.404 O
-1.969 1.796 1.004 O
-1.713 -0.002 4.312 O
-2.900 2.909 3.834 O
```

## Properties
energy relative to the elements, uncorrected: -2329.9 meV/atom
space group: R-3m (166)

Record 8
First-principles (GGA-PBE) data for a geometry-optimized KPmTeO6 structure, as listed in Alexandria via LeMat-Bulk.

```
KPmTeO6
1.0
-5.573 -0.605 -1.927
-3.545 -4.087 2.420
-1.726 3.755 3.813
O Te Pm K
6 1 1 1
Cartesian
-2.078 -0.336 1.931 O
-3.584 0.152 3.980 O
-5.761 0.791 2.365 O
-4.013 0.582 0.152 O
-3.364 2.179 2.083 O
-4.614 -1.486 1.916 O
-3.902 0.314 2.071 Te
-6.941 -1.250 2.236 Pm
-7.298 3.151 1.887 K
```

## Properties
energy relative to the elements, uncorrected: -1497.6 meV/atom
space group: P312 (149)

Please write out number 4 again, unchanged.
First-principles (GGA-PBE) data for a geometry-optimized K3PmTc2O9 structure, as listed in Alexandria via LeMat-Bulk.

```
K3PmTc2O9
1.0
5.804 0.000 0.000
-2.902 5.026 0.000
0.000 0.000 7.262
K O Pm Tc
3 9 1 2
Cartesian
0.000 3.351 4.933 K
2.902 1.675 2.330 K
0.000 0.000 0.000 K
-1.331 4.119 2.207 O
1.331 4.119 2.207 O
4.233 0.907 5.055 O
2.902 0.000 0.000 O
1.451 2.513 0.000 O
-1.451 2.513 0.000 O
2.902 3.212 5.055 O
0.000 1.814 2.207 O
1.571 0.907 5.055 O
0.000 0.000 3.631 Pm
0.000 3.351 1.132 Tc
2.902 1.675 6.130 Tc
```

## Properties
energy relative to the elements, uncorrected: -1858.3 meV/atom
space group: P-3m1 (164)

Please write out number 8 again, unchanged.
First-principles (GGA-PBE) data for a geometry-optimized KPmTeO6 structure, as listed in Alexandria via LeMat-Bulk.

```
KPmTeO6
1.0
-5.573 -0.605 -1.927
-3.545 -4.087 2.420
-1.726 3.755 3.813
O Te Pm K
6 1 1 1
Cartesian
-2.078 -0.336 1.931 O
-3.584 0.152 3.980 O
-5.761 0.791 2.365 O
-4.013 0.582 0.152 O
-3.364 2.179 2.083 O
-4.614 -1.486 1.916 O
-3.902 0.314 2.071 Te
-6.941 -1.250 2.236 Pm
-7.298 3.151 1.887 K
```

## Properties
energy relative to the elements, uncorrected: -1497.6 meV/atom
space group: P312 (149)

> Among the records above, which one has the highest energy relative to the elements, uncorrected?

KPmTeO6